1.
This record from the Alexandria database describes a PBEsol-optimized structure of GeHS2. The functional is meta-GGA SCAN.

a = 3.6586 Å, b = 3.6586 Å, c = 17.9415 Å
α = 90.00°, β = 90.00°, γ = 120.00°
Space group R-3m (No. 166, hexagonal axes)
Unique sites:
Ge 0.0000 0.0000 0.0000 [3 per cell]
H 0.0000 0.0000 0.5000 [3 per cell]
S 0.0000 0.0000 0.4096 [6 per cell]

Summary:
**Fermi-level density of states**: 4.524 states/eV/cell
**Total moment**: 0.000 μB/atom
**Energy above the lowest structure with this stoichiometry**: 0.000 eV per atom
**Total DFT energy (no corrections)**: -10.46 eV/atom

***

2.
This record from the Alexandria database describes a PBEsol-optimized structure of CoHgPt2. The functional is meta-GGA SCAN.

a = 2.813 Å, b = 2.813 Å, c = 7.615 Å
α = 90.00°, β = 90.00°, γ = 90.00°
Space group P4/mmm (No. 123)
Unique sites:
Co 0.000 0.000 0.000 [1 per cell]
Hg 0.000 0.000 0.500 [1 per cell]
Pt 0.500 0.500 0.216 [2 per cell]

Summary:
**Fermi-level density of states**: 2.009 states/eV/cell
**Total moment**: 0.653 μB/atom
**ΔH_f (0 K)**: -0.031 eV per atom
**Total DFT energy (no corrections)**: -56.50 eV/atom

***

3.
This record from the Alexandria database describes a PBEsol-optimized structure of BaCa2As. The functional is meta-GGA SCAN.

a = 4.3096 Å, b = 4.3096 Å, c = 30.7673 Å
α = 90.00°, β = 90.00°, γ = 120.00°
Space group R-3m (No. 166, hexagonal axes)
Unique sites:
Ba 0.0000 0.0000 0.0000 [3 per cell]
Ca 0.0000 0.0000 0.2144 [6 per cell]
As 0.0000 0.0000 0.5000 [3 per cell]

Summary:
**Fermi-level density of states**: 6.272 states/eV/cell
**Total moment**: 0.216 μB/atom
**ΔH_f (0 K)**: -0.701 eV per atom
**Total DFT energy (no corrections)**: -20.47 eV/atom

***

4.
This record from the Alexandria database describes a PBEsol-optimized structure of CdGa3I. The functional is meta-GGA SCAN.

a = 5.172 Å, b = 5.172 Å, c = 5.172 Å
α = 90.00°, β = 90.00°, γ = 90.00°
Space group Pm-3m (No. 221)
Unique sites:
Cd 0.000 0.000 0.000 [1 per cell]
Ga 0.000 0.000 0.500 [3 per cell]
I 0.500 0.500 0.500 [1 per cell]

Summary:
**Fermi-level density of states**: 1.695 states/eV/cell
**Total moment**: 0.000 μB/atom
**Formation energy (no corrections)**: 0.251 eV per atom
**Total DFT energy (no corrections)**: -22.99 eV/atom

***

5.
This record from the Alexandria database describes a PBEsol-optimized structure of Tl2IrW. The functional is meta-GGA SCAN.

a = 4.343 Å, b = 4.343 Å, c = 3.833 Å
α = 90.00°, β = 90.00°, γ = 90.00°
Space group P4/mmm (No. 123)
Unique sites:
Tl 0.000 0.500 0.000 [2 per cell]
Ir 0.000 0.000 0.500 [1 per cell]
W 0.500 0.500 0.500 [1 per cell]

Summary:
**Fermi-level density of states**: 4.450 states/eV/cell
**Total moment**: 0.001 μB/atom
**Energy above the lowest structure with this stoichiometry**: 0.186 eV per atom
**ΔH_f (0 K)**: 1.173 eV per atom
**Total DFT energy (no corrections)**: -70.20 eV/atom

***

6.
This record from the Alexandria database describes a PBEsol-optimized structure of LuTlS2. The functional is meta-GGA SCAN.

a = 3.8650 Å, b = 3.8650 Å, c = 22.1401 Å
α = 90.00°, β = 90.00°, γ = 120.00°
Space group R-3m (No. 166, hexagonal axes)
Unique sites:
Lu 0.0000 0.0000 0.0000 [3 per cell]
Tl 0.0000 0.0000 0.5000 [3 per cell]
S 0.0000 0.0000 0.2675 [6 per cell]

Summary:
**Fermi-level density of states**: 0.000 states/eV/cell
**Total moment**: 0.000 μB/atom
**Formation energy (no corrections)**: -1.672 eV per atom
**Total DFT energy (no corrections)**: -38.41 eV/atom

***

7.
This record from the Alexandria database describes a PBEsol-optimized structure of CaLaCrSnO6. The functional is meta-GGA SCAN.

a = 5.501 Å, b = 5.602 Å, c = 9.541 Å
α = 90.00°, β = 124.88°, γ = 90.00°
Space group Pc (No. 7)
Unique sites:
Ca 0.000 0.200 0.000 [2 per cell]
La 0.525 0.291 0.501 [2 per cell]
Cr 0.764 0.250 0.250 [2 per cell]
Sn 0.265 0.249 0.752 [2 per cell]
O 0.006 0.451 0.202 [2 per cell]
O 0.094 0.221 0.495 [2 per cell]
O 0.424 0.274 0.006 [2 per cell]
O 0.525 0.045 0.297 [2 per cell]
O 0.616 0.460 0.801 [2 per cell]
O 0.920 0.035 0.704 [2 per cell]

Summary:
**Fermi-level density of states**: 0.000 states/eV/cell
**Total moment**: 0.300 μB/atom
**Formation energy (no corrections)**: -2.850 eV per atom
**Total DFT energy (no corrections)**: -17.30 eV/atom

***

8.
This record from the Alexandria database describes a PBEsol-optimized structure of Sm2TeO2. The functional is meta-GGA SCAN.

a = 3.966 Å, b = 3.966 Å, c = 12.589 Å
α = 90.00°, β = 90.00°, γ = 90.00°
Space group I4/mmm (No. 139)
Unique sites:
Sm 0.000 0.000 0.160 [4 per cell]
Te 0.000 0.000 0.500 [2 per cell]
O 0.000 0.500 0.250 [4 per cell]

Summary:
**Fermi-level density of states**: 0.000 states/eV/cell
**Total moment**: 0.000 μB/atom
**Formation energy (no corrections)**: -3.220 eV per atom
**Total DFT energy (no corrections)**: -30.94 eV/atom